Computed, not measured: a geometry-optimized YIn2Se structure at the PBE level of DFT.

Properties
V	26.07	Å³ per atom
magnetic moment	0.0	μB per cell
ΔE_f (raw)	-0.61	eV per atom

Structure (CIF):
```
data_YIn2Se
_chemical_formula_sum 'Y2 In4 Se2'
_space_group_name_H-M_alt 'C 1 m 1'
_space_group_IT_number 8
_cell_length_a 10.548
_cell_length_b 3.826
_cell_length_c 5.395
_cell_angle_alpha 90.00
_cell_angle_beta 106.65
_cell_angle_gamma 90.00
loop_
_space_group_symop_operation_xyz
'x,y,z'
'x,-y,z'
'x+1/2,y+1/2,z'
'x+1/2,-y+1/2,z'
loop_
_atom_site_label
_atom_site_fract_x
_atom_site_fract_y
_atom_site_fract_z
Y1 0.000 0.000 0.000
In1 0.207 0.000 0.587
In2 0.451 0.000 0.441
Se1 0.216 0.500 0.997
```


Computed, not measured: a geometry-optimized YIn2Se structure at the PBE level of DFT.

Properties
V	25.08	Å³ per atom
magnetic moment	0.0	μB per cell
ΔE_f (raw)	-0.42	eV per atom

Structure (CIF):
```
data_YIn2Se
_chemical_formula_sum 'Y4 In8 Se4'
_space_group_name_H-M_alt 'F -4 3 m'
_space_group_IT_number 216
_space_group_name_Hall 'F -4 2 3'
_cell_length_a 7.376
_cell_length_b 7.376
_cell_length_c 7.376
_cell_angle_alpha 90.00
_cell_angle_beta 90.00
_cell_angle_gamma 90.00
loop_
_atom_site_label
_atom_site_fract_x
_atom_site_fract_y
_atom_site_fract_z
Y1 0.000 0.000 0.000
In1 0.000 0.000 0.500
In2 0.250 0.250 0.750
Se1 0.250 0.250 0.250
```


Computed, not measured: a geometry-optimized Y5InSe4 structure at the PBE level of DFT.

Properties
V	25.44	Å³ per atom
magnetic moment	0.0	μB per cell
ΔE_f (raw)	-1.51	eV per atom

Structure (CIF):
```
data_Y5InSe4
_chemical_formula_sum 'Y10 In2 Se8'
_space_group_name_H-M_alt 'I 4/m'
_space_group_IT_number 87
_space_group_name_Hall '-I 4'
_cell_length_a 9.306
_cell_length_b 9.306
_cell_length_c 5.875
_cell_angle_alpha 90.00
_cell_angle_beta 90.00
_cell_angle_gamma 90.00
loop_
_atom_site_label
_atom_site_fract_x
_atom_site_fract_y
_atom_site_fract_z
Y1 0.000 0.000 0.000
Y2 0.100 0.696 0.500
In1 0.000 0.000 0.500
Se1 0.101 0.699 0.000
```